1.
VASP calculation (PBE) on a relaxed MgOs2Ru crystal.

energy of formation from the pure elements	227	meV per atom
magnetic moment	0.00	μB per formula unit

Cell lengths 2.737, 2.737, 7.970 Å; angles 90.00, 90.00, 90.00 degrees
Positions (direct):
Mg: 0.500 0.500 0.750
Os: 0.000 0.000 0.016
Os: 0.000 0.000 0.484
Ru: 0.500 0.500 0.250

---

2.
VASP calculation (PBE) on a relaxed AcCeSi2 crystal.

magnetic moment	0.52	μB per formula unit
formation energy without anion corrections	-0.334	eV/atom

Cell lengths 3.314, 5.527, 5.527 Å; angles 90.00, 90.00, 90.00 degrees
Positions (direct):
Ac: 0.500 0.000 0.000
Si: 0.000 0.000 0.500
Si: 0.000 0.500 0.000
Ce: 0.500 0.500 0.500